No. 1
Computed, not measured: an optimized crystal structure of SrPd2Rh at the PBE level of DFT.

Summary:
space group: No. 225
formation energy: -3.97 kJ/mol of atoms
raw total energy: -4.896 eV/atom

a b c (Å): 4.7557 4.7557 4.7557
angles (deg): 60.00 60.00 60.00
Element x y z (fractional)
Sr1 0.0000 0.0000 0.0000
Pd1 0.2500 0.2500 0.2500
Pd2 0.7500 0.7500 0.7500
Rh1 0.5000 0.5000 0.5000


No. 2
Computed, not measured: an optimized crystal structure of Sr5PdRh at the PBE level of DFT.

Summary:
space group: No. 15
formation energy: -19.49 kJ/mol of atoms
raw total energy: -3.195 eV/atom

a b c (Å): 7.3064 7.3064 11.6226
angles (deg): 106.93 106.93 80.06
Element x y z (fractional)
Sr1 0.0638 0.7296 0.3582
Sr2 0.2488 0.7512 0.7500
Sr3 0.2704 0.9362 0.1418
Sr4 0.2739 0.3593 0.9844
Sr5 0.3593 0.2739 0.4844
Sr6 0.6407 0.7261 0.5156
Sr7 0.7261 0.6407 0.0156
Sr8 0.7296 0.0638 0.8582
Sr9 0.7512 0.2488 0.2500
Sr10 0.9362 0.2704 0.6418
Pd1 0.4193 0.5807 0.2500
Pd2 0.5807 0.4193 0.7500
Rh1 0.0000 0.5000 0.5000
Rh2 0.5000 0.0000 0.0000


No. 3
Computed, not measured: an optimized crystal structure of SrPd3Rh at the PBE level of DFT.

Summary:
space group: No. 221
formation energy: 137.13 kJ/mol of atoms
raw total energy: -3.501 eV/atom
energy above the lowest structure with this stoichiometry: 1151 meV per atom

a b c (Å): 5.0576 5.0576 5.0576
angles (deg): 90.00 90.00 90.00
Element x y z (fractional)
Sr1 0.0000 0.0000 0.0000
Pd1 0.0000 0.0000 0.5000
Pd2 0.0000 0.5000 0.0000
Pd3 0.5000 0.0000 0.0000
Rh1 0.5000 0.5000 0.5000


No. 4
Computed, not measured: an optimized crystal structure of SrPdRh2 at the PBE level of DFT.

Summary:
space group: No. 122
formation energy: 17.24 kJ/mol of atoms
raw total energy: -5.216 eV/atom
energy above the lowest structure with this stoichiometry: 0 meV per atom

a b c (Å): 9.8393 9.8393 9.8393
angles (deg): 153.84 153.84 37.33
Element x y z (fractional)
Sr1 0.0000 0.0000 0.0000
Sr2 0.7500 0.2500 0.5000
Pd1 0.2500 0.7500 0.5000
Pd2 0.5000 0.5000 0.0000
Rh1 0.2649 0.6250 0.1399
Rh2 0.3750 0.5149 0.6399
Rh3 0.4851 0.1250 0.8601
Rh4 0.8750 0.7351 0.3601


No. 5
Computed, not measured: an optimized crystal structure of SrTbPdRh at the PBE level of DFT.

Summary:
space group: No. 216
formation energy: -52.21 kJ/mol of atoms
raw total energy: -5.255 eV/atom

a b c (Å): 5.0365 5.0365 5.0365
angles (deg): 60.00 60.00 60.00
Element x y z (fractional)
Sr1 0.0000 0.0000 0.0000
Tb1 0.5000 0.5000 0.5000
Pd1 0.7500 0.7500 0.7500
Rh1 0.2500 0.2500 0.2500


No. 6
Computed, not measured: an optimized crystal structure of Sr2Tl6PdRh at the PBE level of DFT.

Summary:
space group: No. 225
formation energy: -11.39 kJ/mol of atoms
raw total energy: -3.129 eV/atom

a b c (Å): 7.5665 7.5665 7.5665
angles (deg): 60.00 60.00 60.00
Element x y z (fractional)
Sr1 0.2500 0.2500 0.2500
Sr2 0.7500 0.7500 0.7500
Tl1 0.2493 0.2493 0.7507
Tl2 0.2493 0.7507 0.2493
Tl3 0.2493 0.7507 0.7507
Tl4 0.7507 0.2493 0.2493
Tl5 0.7507 0.2493 0.7507
Tl6 0.7507 0.7507 0.2493
Pd1 0.5000 0.5000 0.5000
Rh1 0.0000 0.0000 0.0000


No. 7
Computed, not measured: an optimized crystal structure of Sr2Zn5PdRh2 at the PBE level of DFT.

Summary:
space group: No. 127
formation energy: -29.26 kJ/mol of atoms
raw total energy: -3.266 eV/atom

a b c (Å): 10.6708 10.6708 3.2998
angles (deg): 90.00 90.00 90.00
Element x y z (fractional)
Sr1 0.1774 0.3226 0.0000
Sr2 0.3226 0.8226 0.0000
Sr3 0.6774 0.1774 0.0000
Sr4 0.8226 0.6774 0.0000
Zn1 0.0000 0.5000 0.5000
Zn2 0.0563 0.8106 0.5000
Zn3 0.1894 0.0563 0.5000
Zn4 0.3106 0.5563 0.5000
Zn5 0.4437 0.3106 0.5000
Zn6 0.5000 0.0000 0.5000
Zn7 0.5563 0.6894 0.5000
Zn8 0.6894 0.4437 0.5000
Zn9 0.8106 0.9437 0.5000
Zn10 0.9437 0.1894 0.5000
Pd1 0.0000 0.0000 0.0000
Pd2 0.5000 0.5000 0.0000
Rh1 0.1290 0.6290 0.0000
Rh2 0.3710 0.1290 0.0000
Rh3 0.6290 0.8710 0.0000
Rh4 0.8710 0.3710 0.0000


No. 8
Computed, not measured: an optimized crystal structure of Sr2Zn5Pd2Rh at the PBE level of DFT.

Summary:
space group: No. 127
formation energy: -32.30 kJ/mol of atoms
raw total energy: -3.082 eV/atom

a b c (Å): 10.4771 10.4771 3.4932
angles (deg): 90.00 90.00 90.00
Element x y z (fractional)
Sr1 0.1776 0.3224 0.0000
Sr2 0.3224 0.8224 0.0000
Sr3 0.6776 0.1776 0.0000
Sr4 0.8224 0.6776 0.0000
Zn1 0.0000 0.5000 0.5000
Zn2 0.0541 0.8165 0.5000
Zn3 0.1835 0.0541 0.5000
Zn4 0.3165 0.5541 0.5000
Zn5 0.4459 0.3165 0.5000
Zn6 0.5000 0.0000 0.5000
Zn7 0.5541 0.6835 0.5000
Zn8 0.6835 0.4459 0.5000
Zn9 0.8165 0.9459 0.5000
Zn10 0.9459 0.1835 0.5000
Pd1 0.1257 0.6257 0.0000
Pd2 0.3743 0.1257 0.0000
Pd3 0.6257 0.8743 0.0000
Pd4 0.8743 0.3743 0.0000
Rh1 0.0000 0.0000 0.0000
Rh2 0.5000 0.5000 0.0000


No. 9
Computed, not measured: an optimized crystal structure of Sr2Zn2Pd5Rh at the PBE level of DFT.

Summary:
space group: No. 127
formation energy: -36.23 kJ/mol of atoms
raw total energy: -4.298 eV/atom

a b c (Å): 10.0811 10.0811 3.6717
angles (deg): 90.00 90.00 90.00
Element x y z (fractional)
Sr1 0.1794 0.3206 0.0000
Sr2 0.3206 0.8206 0.0000
Sr3 0.6794 0.1794 0.0000
Sr4 0.8206 0.6794 0.0000
Zn1 0.1213 0.6213 0.0000
Zn2 0.3787 0.1213 0.0000
Zn3 0.6213 0.8787 0.0000
Zn4 0.8787 0.3787 0.0000
Pd1 0.0000 0.5000 0.5000
Pd2 0.0597 0.7952 0.5000
Pd3 0.2048 0.0597 0.5000
Pd4 0.2952 0.5597 0.5000
Pd5 0.4403 0.2952 0.5000
Pd6 0.5000 0.0000 0.5000
Pd7 0.5597 0.7048 0.5000
Pd8 0.7048 0.4403 0.5000
Pd9 0.7952 0.9403 0.5000
Pd10 0.9403 0.2048 0.5000
Rh1 0.0000 0.0000 0.0000
Rh2 0.5000 0.5000 0.0000


No. 10
Computed, not measured: an optimized crystal structure of Ta2Pd3Rh2 at the PBE level of DFT.

Summary:
space group: No. 10
formation energy: -14.89 kJ/mol of atoms
raw total energy: -7.867 eV/atom

a b c (Å): 2.8071 2.8422 14.7347
angles (deg): 90.00 95.44 90.00
Element x y z (fractional)
Ta1 0.1418 0.0000 0.2827
Ta2 0.8582 0.0000 0.7173
Pd1 0.0000 0.5000 0.0000
Pd2 0.2914 0.5000 0.5821
Pd3 0.7086 0.5000 0.4179
Rh1 0.4209 0.5000 0.8411
Rh2 0.5791 0.5000 0.1589


No. 11
Computed, not measured: an optimized crystal structure of Ta2PdRh2 at the PBE level of DFT.

Summary:
space group: No. 59
formation energy: -26.78 kJ/mol of atoms
raw total energy: -8.998 eV/atom
energy above the lowest structure with this stoichiometry: 113 meV per atom

a b c (Å): 2.8531 4.4952 12.6479
angles (deg): 90.00 90.00 90.00
Element x y z (fractional)
Ta1 0.2500 0.2500 0.0567
Ta2 0.2500 0.7500 0.3535
Ta3 0.7500 0.2500 0.6465
Ta4 0.7500 0.7500 0.9433
Pd1 0.2500 0.7500 0.7420
Pd2 0.7500 0.2500 0.2580
Rh1 0.2500 0.2500 0.4618
Rh2 0.2500 0.7500 0.1497
Rh3 0.7500 0.2500 0.8503
Rh4 0.7500 0.7500 0.5382


No. 12
Computed, not measured: an optimized crystal structure of Ta2Pd5Rh at the PBE level of DFT.

Summary:
space group: No. 55
formation energy: -39.69 kJ/mol of atoms
raw total energy: -7.539 eV/atom

a b c (Å): 5.6313 11.2544 3.9123
angles (deg): 90.00 90.00 90.00
Element x y z (fractional)
Ta1 0.2322 0.1199 0.0000
Ta2 0.2678 0.6199 0.0000
Ta3 0.7322 0.3801 0.0000
Ta4 0.7678 0.8801 0.0000
Pd1 0.0000 0.5000 0.5000
Pd2 0.0128 0.7500 0.5000
Pd3 0.2406 0.3736 0.0000
Pd4 0.2594 0.8736 0.0000
Pd5 0.4872 0.2500 0.5000
Pd6 0.5000 0.0000 0.5000
Pd7 0.5128 0.7500 0.5000
Pd8 0.7406 0.1264 0.0000
Pd9 0.7594 0.6264 0.0000
Pd10 0.9872 0.2500 0.5000
Rh1 0.0000 0.0000 0.5000
Rh2 0.5000 0.5000 0.5000


Which of these has the highest formation energy? SrPd3Rh


Which formula does entry 2 have? Sr5PdRh


Which value of raw total energy does entry 10 give? -7.867 eV/atom